Here is a relaxed Er3Mg3In2 crystal from Alexandria via LeMat-Bulk. Energies are from PBE.

Cell lengths 4.9099, 4.9534, 8.2570 Å; angles 90.00, 90.00, 90.00 degrees
Last column: magnetic moment on the atom in μB.
Fractional positions:
Er (0.0000, 0.5000, 0.5000)  0.12
Er (0.5000, 0.0000, 0.0000)  -0.01
Er (0.5000, 0.0000, 0.5000)  0.11
Mg (0.5000, 0.5000, 0.2389)  0.00
Mg (0.5000, 0.5000, 0.7611)  0.00
Mg (0.0000, 0.5000, 0.0000)  0.00
In (0.0000, 0.0000, 0.2455)  0.00
In (0.0000, 0.0000, 0.7545)  0.00

Results
VASP energy   -26.034 eV/cell
ΔE_f   -0.2606 eV/atom
Size of the total moment   0.035 μB per atom

***

Here is a relaxed NdDyGa2Ir2 crystal from Alexandria via LeMat-Bulk. Energies are from PBE.

Cell lengths 4.4098, 4.4098, 7.3092 Å; angles 90.00, 90.00, 120.00 degrees
Fractional positions:
Nd (0.0000, 0.0000, 0.0000)
Dy (0.0000, 0.0000, 0.5000)
Ga (0.6667, 0.3333, 0.7312)
Ga (0.3333, 0.6667, 0.2688)
Ir (0.6667, 0.3333, 0.2684)
Ir (0.3333, 0.6667, 0.7316)

Results
VASP energy   -37.731 eV/cell
ΔE_f   -0.7643 eV/atom
Size of the total moment   0.000 μB per atom

***

Here is a relaxed Tb6PmGa3 crystal from Alexandria via LeMat-Bulk. Energies are from PBE.

Cell lengths 8.3025, 8.3496, 8.3496 Å; angles 99.23, 90.00, 90.00 degrees
Fractional positions:
Tb (0.1656, 0.7344, 0.6021)
Tb (0.6656, 0.6021, 0.7344)
Tb (0.3078, 0.5857, 0.9425)
Tb (0.8078, 0.9425, 0.5857)
Tb (0.1906, 0.0342, 0.9658)
Tb (0.5190, 0.2246, 0.7754)
Tb (0.0190, 0.7754, 0.2246)
Tb (0.6906, 0.9658, 0.0342)
Tb (0.3078, 0.0575, 0.4143)
Tb (0.8078, 0.4143, 0.0575)
Tb (0.1656, 0.3979, 0.2656)
Tb (0.6656, 0.2656, 0.3979)
Pm (0.0282, 0.3321, 0.6679)
Pm (0.5282, 0.6679, 0.3321)
Ga (0.4685, 0.8814, 0.7173)
Ga (0.9685, 0.7173, 0.8814)
Ga (0.3637, 0.4306, 0.5694)
Ga (0.8637, 0.5694, 0.4306)
Ga (0.9685, 0.1186, 0.2827)
Ga (0.4685, 0.2827, 0.1186)

Results
VASP energy   -89.307 eV/cell
ΔE_f   -0.3041 eV/atom
Size of the total moment   0.000 μB per atom

***

Here is a relaxed SnTe2H crystal from Alexandria via LeMat-Bulk. Energies are from PBE.

Cell lengths 5.1236, 5.1236, 5.1236 Å; angles 60.00, 60.00, 60.00 degrees
Fractional positions:
H (0.0000, 0.0000, 0.0000)
Te (0.2500, 0.2500, 0.2500)
Te (0.7500, 0.7500, 0.7500)
Sn (0.5000, 0.5000, 0.5000)

Results
VASP energy   -11.549 eV/cell
Energy relative to the lowest polymorph listed for this composition   456.3 meV/atom
Size of the total moment   0.001 μB per atom

***

Here is a relaxed AcPd3Pb3 crystal from Alexandria via LeMat-Bulk. Energies are from PBE.

Cell lengths 7.4861, 7.4861, 7.4861 Å; angles 90.00, 90.00, 90.00 degrees
Fractional positions:
Pb (0.0000, 0.2500, 0.5000)
Pb (0.0000, 0.7500, 0.5000)
Pb (0.5000, 0.0000, 0.7500)
Pb (0.7500, 0.5000, 0.0000)
Pb (0.5000, 0.0000, 0.2500)
Pb (0.2500, 0.5000, 0.0000)
Ac (0.5000, 0.5000, 0.5000)
Ac (0.0000, 0.0000, 0.0000)
Pd (0.2500, 0.0000, 0.5000)
Pd (0.0000, 0.5000, 0.2500)
Pd (0.5000, 0.7500, 0.0000)
Pd (0.7500, 0.0000, 0.5000)
Pd (0.0000, 0.5000, 0.7500)
Pd (0.5000, 0.2500, 0.0000)

Results
VASP energy   -62.459 eV/cell
Energy relative to the lowest polymorph listed for this composition   390.2 meV/atom
ΔE_f   -0.0597 eV/atom
Size of the total moment   0.000 μB per atom

***

Here is a relaxed LaPm3Y2 crystal from Alexandria via LeMat-Bulk. Energies are from PBE.

Cell lengths 6.4776, 8.2158, 8.2158 Å; angles 71.34, 90.00, 90.00 degrees
Fractional positions:
La (0.7902, 0.8258, 0.8258)
La (0.2902, 0.1742, 0.1742)
Pm (0.0983, 0.8695, 0.5033)
Pm (0.5983, 0.4967, 0.1305)
Pm (0.0983, 0.5033, 0.8695)
Pm (0.5983, 0.1305, 0.4967)
Pm (0.3158, 0.9179, 0.9179)
Pm (0.8158, 0.0821, 0.0821)
Y (0.5777, 0.7453, 0.3855)
Y (0.0777, 0.6145, 0.2547)
Y (0.5777, 0.3855, 0.7453)
Y (0.0777, 0.2547, 0.6145)

Results
VASP energy   -61.699 eV/cell
Energy relative to the lowest polymorph listed for this composition   212.4 meV/atom
ΔE_f   0.2096 eV/atom
Size of the total moment   0.000 μB per atom

***

Among the records above, which one has the highest VASP energy? SnTe2H